This record from the Alexandria database describes a relaxed structure of Fe4Co2Ir. The functional is GGA-PBE.

Cell: 5.6316 5.6316 2.7806 Å, 90.00 90.00 94.38°
Closest atoms and distances in Å follow each position.
Fractional coordinates of all 7 atoms:
Fe  0.0000  0.5000  0.5000  4 Co 2.37, 4 Fe 2.53
Fe  0.1945  0.1945  0.0000  2 Co 2.47, 4 Fe 2.53, 2 Ir 2.72
Fe  0.5000  0.0000  0.5000  4 Co 2.37, 4 Fe 2.53
Fe  0.8055  0.8055  0.0000  2 Co 2.47, 4 Fe 2.53, 2 Ir 2.72
Co  0.2388  0.7612  0.0000  6 Fe 2.37-2.47, 2 Ir 2.57
Co  0.7612  0.2388  0.0000  6 Fe 2.37-2.47, 2 Ir 2.57
Ir  0.5000  0.5000  0.5000  4 Co 2.57, 8 Fe 2.72-2.82, 2 Ir 2.78

Values from the calculation:
ΔE_f   0.193 eV per atom

This record from the Alexandria database describes a relaxed structure of BaHg12Pd6. The functional is GGA-PBE.

Cell: 7.9734 7.9734 7.9734 Å, 105.33 105.33 105.33°
Closest atoms and distances in Å follow each position.
Fractional coordinates of all 19 atoms:
Ba  0.0000  0.0000  0.0000  6 Hg 3.55
Hg  0.1182  0.5000  0.8818  4 Pd 2.81-2.84, 3 Hg 3.00-3.05
Hg  0.1182  0.8818  0.5000  4 Pd 2.81-2.84, 3 Hg 3.00-3.05
Hg  0.1409  0.4027  0.4027  3 Pd 2.81, 2 Hg 3.05
Hg  0.4027  0.1409  0.4027  3 Pd 2.81, 2 Hg 3.05
Hg  0.4027  0.4027  0.1409  3 Pd 2.81, 2 Hg 3.05
Hg  0.5000  0.1182  0.8818  4 Pd 2.81-2.84, 3 Hg 3.00-3.05
Hg  0.5000  0.8818  0.1182  4 Pd 2.81-2.84, 3 Hg 3.00-3.05
Hg  0.5973  0.5973  0.8591  3 Pd 2.81, 2 Hg 3.05
Hg  0.5973  0.8591  0.5973  3 Pd 2.81, 2 Hg 3.05
Hg  0.8591  0.5973  0.5973  3 Pd 2.81, 2 Hg 3.05
Hg  0.8818  0.1182  0.5000  4 Pd 2.81-2.84, 3 Hg 3.00-3.05
Hg  0.8818  0.5000  0.1182  4 Pd 2.81-2.84, 3 Hg 3.00-3.05
Pd  0.2742  0.2742  0.6885  7 Hg 2.81-2.84
Pd  0.2742  0.6885  0.2742  7 Hg 2.81-2.84
Pd  0.3115  0.7258  0.7258  7 Hg 2.81-2.84
Pd  0.6885  0.2742  0.2742  7 Hg 2.81-2.84
Pd  0.7258  0.3115  0.7258  7 Hg 2.81-2.84
Pd  0.7258  0.7258  0.3115  7 Hg 2.81-2.84

Values from the calculation:
ΔE_f   -0.136 eV per atom

This record from the Alexandria database describes a relaxed structure of NdMg2CdAg4. The functional is GGA-PBE.

Cell: 9.1805 9.1805 9.1805 Å, 30.04 30.04 30.04°
Closest atoms and distances in Å follow each position.
Fractional coordinates of all 8 atoms:
Nd  0.0000  0.0000  0.0000  8 Ag 3.16-3.30
Mg  0.2432  0.2432  0.2432  7 Ag 2.86-3.10
Mg  0.7568  0.7568  0.7568  7 Ag 2.86-3.10
Cd  0.5000  0.5000  0.5000  8 Ag 2.81-2.95
Ag  0.1254  0.1254  0.1254  4 Mg 2.90-3.10, 3 Cd 2.95, 3 Ag 3.25
Ag  0.3929  0.3929  0.3929  1 Cd 2.81, 3 Mg 2.86
Ag  0.6071  0.6071  0.6071  1 Cd 2.81, 3 Mg 2.86
Ag  0.8746  0.8746  0.8746  4 Mg 2.90-3.10, 3 Cd 2.95, 3 Ag 3.25

Values from the calculation:
ΔE_f   -0.176 eV per atom

This record from the Alexandria database describes a relaxed structure of SiHgSb2. The functional is GGA-PBE.

Cell: 8.1014 8.1014 8.1014 Å, 153.84 153.37 37.67°
Closest atoms and distances in Å follow each position.
Fractional coordinates of all 4 atoms:
Si  0.0000  0.0000  0.0000  6 Sb 2.74-2.84
Hg  0.7619  0.2619  0.5000  6 Sb 3.16-3.28
Sb  0.1330  0.6330  0.5000  2 Si 2.74
Sb  0.4284  0.4284  0.0000  4 Si 2.84, 2 Hg 3.16

Values from the calculation:
Raw formation energy   304 meV per atom

This record from the Alexandria database describes a relaxed structure of MgBe2In2. The functional is GGA-PBE.

Cell: 7.0360 7.0360 3.6351 Å, 90.00 90.00 90.00°
Closest atoms and distances in Å follow each position.
Fractional coordinates of all 10 atoms:
Mg  0.0000  0.0000  0.0000  4 Be 2.86, 8 In 3.15
Mg  0.5000  0.5000  0.0000  4 Be 2.86, 8 In 3.15
Be  0.1083  0.3917  0.0000  1 Be 2.16
Be  0.3917  0.8917  0.0000  1 Be 2.16
Be  0.6083  0.1083  0.0000  1 Be 2.16
Be  0.8917  0.6083  0.0000  1 Be 2.16
In  0.1842  0.6842  0.5000  6 Be 2.75-2.80
In  0.3158  0.1842  0.5000  6 Be 2.75-2.80
In  0.6842  0.8158  0.5000  6 Be 2.75-2.80
In  0.8158  0.3158  0.5000  6 Be 2.75-2.80

Values from the calculation:
Excess energy over the best structure of this formula in the dataset   0.00 kcal/mol of atoms
ΔE_f   0.342 eV per atom

This record from the Alexandria database describes a relaxed structure of SrTl2Cd. The functional is GGA-PBE.

Cell: 11.8798 11.8798 11.8798 Å, 156.39 156.39 33.64°
Closest atoms and distances in Å follow each position.
Fractional coordinates of all 8 atoms:
Sr  0.0000  0.0000  0.0000  4 Tl 3.38, 4 Cd 3.44
Sr  0.7500  0.2500  0.5000  4 Tl 3.38, 4 Cd 3.44
Tl  0.1570  0.6250  0.0320  2 Tl 3.22, 2 Cd 3.27, 2 Sr 3.38
Tl  0.3750  0.4070  0.5320  2 Tl 3.22, 2 Cd 3.27, 2 Sr 3.38
Tl  0.5930  0.1250  0.9680  2 Tl 3.22, 2 Cd 3.27, 2 Sr 3.38
Tl  0.8750  0.8430  0.4680  2 Tl 3.22, 2 Cd 3.27, 2 Sr 3.38
Cd  0.2500  0.7500  0.5000  4 Tl 3.27, 4 Sr 3.44
Cd  0.5000  0.5000  0.0000  4 Tl 3.27, 4 Sr 3.44

Values from the calculation:
ΔE_f   -0.099 eV per atom

This record from the Alexandria database describes a relaxed structure of CePmInPb. The functional is GGA-PBE.

Cell: 5.7771 5.7771 5.7771 Å, 128.14 128.14 76.40°
Closest atoms and distances in Å follow each position.
Fractional coordinates of all 4 atoms:
Ce  0.0000  0.0000  0.0000  4 In 3.40, 4 Pb 3.40, 4 Pm 3.57
Pm  0.5000  0.5000  0.0000  4 In 3.40, 4 Pb 3.40, 4 Ce 3.57
In  0.7500  0.2500  0.5000  4 Ce 3.40, 4 Pm 3.40, 4 Pb 3.57
Pb  0.2500  0.7500  0.5000  4 Ce 3.40, 4 Pm 3.40, 4 In 3.57

Values from the calculation:
Excess energy over the best structure of this formula in the dataset   0.00 kcal/mol of atoms
ΔE_f   -0.431 eV per atom

This record from the Alexandria database describes a relaxed structure of CsYMgS3. The functional is GGA-PBE.

Cell: 9.3331 4.1481 10.1301 Å, 90.00 110.76 90.00°
Closest atoms and distances in Å follow each position.
Fractional coordinates of all 12 atoms:
Cs  0.2172  0.2500  0.2363  7 S 3.54-3.90
Cs  0.7828  0.7500  0.7637  7 S 3.54-3.90
Y  0.3341  0.7500  0.8676  6 S 2.68-3.00
Y  0.6659  0.2500  0.1324  6 S 2.68-3.00
Mg  0.0846  0.2500  0.6123  4 S 2.40-2.50
Mg  0.9154  0.7500  0.3877  4 S 2.40-2.50
S  0.1311  0.2500  0.8607  1 Mg 2.40
S  0.1889  0.7500  0.5517  3 Mg 2.46-2.50
S  0.4772  0.7500  0.1486  3 Y 2.68-2.76
S  0.5228  0.2500  0.8514  3 Y 2.68-2.76
S  0.8111  0.2500  0.4483  3 Mg 2.46-2.50
S  0.8689  0.7500  0.1393  1 Mg 2.40

Values from the calculation:
Raw formation energy   -1688 meV per atom